Density functional theory data (GGA-PBE) for a relaxed structure of Na4Dy3YSe8.

a = 8.292 Å, b = 8.489 Å, c = 8.292 Å
α = 119.24°, β = 120.00°, γ = 90.00°
Fractional positions:
Dy  0.500  0.500  0.500
Dy  0.500  0.500  0.000
Dy  0.000  0.500  0.500
Na  0.000  0.000  0.500
Na  0.500  0.000  0.500
Na  0.500  0.000  0.000
Na  0.000  0.000  0.000
Se  0.257  0.270  0.014
Se  0.257  0.271  0.514
Se  0.743  0.729  0.486
Se  0.757  0.270  0.014
Se  0.757  0.271  0.513
Se  0.743  0.730  0.986
Se  0.243  0.729  0.487
Se  0.243  0.730  0.986
Y  0.000  0.500  0.000

DOS(E_F) = 0.0 states/eV per cell
Final energy = -80.8 eV per cell
Total moment = 0.00 μB per formula unit